A plane-wave DFT calculation with GGA-PBEsol was carried out for LiCoNi2 after structural relaxation.

The value obtained for the volume is 128.0 Å³/cell. The total magnetization is 7.49 Bohr magnetons per cell. The energy of formation comes out at 0.04 eV/atom. As for the crystal system: trigonal. The total energy is -5.464 eV/atom.

It has space group R-3m (No. 166, hexagonal axes), with a = 2.4496 Å, b = 2.4496 Å, c = 24.6295 Å, α = 90.00°, β = 90.00° and γ = 120.00°. Symmetry generates all atoms from Li at (0.0000, 0.0000, 0.0000), Co at (0.0000, 0.0000, 0.5000) and Ni at (0.0000, 0.0000, 0.2473).